[1]
BIrW2: relaxed, PBE-GGA.

Properties
DFT total energy = -38.83 eV/cell

Unit cell a=4.283 b=4.283 c=4.283 alpha=60.00 beta=60.00 gamma=60.00
Positions (direct):
B 0.500 0.500 0.500
Ir 0.250 0.250 0.250
W 0.000 0.000 0.000
W 0.750 0.750 0.750

---

[2]
RbHfTlSe3: relaxed, PBE-GGA.

Properties
DFT total energy = -121.63 eV/cell

Unit cell a=15.730 b=3.941 c=12.066 alpha=90.00 beta=90.00 gamma=90.00
Positions (direct):
Hf 0.569 0.250 0.127
Hf 0.069 0.250 0.373
Hf 0.931 0.750 0.627
Hf 0.431 0.750 0.873
Rb 0.235 0.750 0.113
Rb 0.735 0.750 0.387
Rb 0.265 0.250 0.613
Rb 0.765 0.250 0.887
Se 0.683 0.750 0.105
Se 0.449 0.750 0.109
Se 0.064 0.250 0.160
Se 0.564 0.250 0.340
Se 0.949 0.750 0.391
Se 0.183 0.750 0.395
Se 0.817 0.250 0.605
Se 0.051 0.250 0.609
Se 0.436 0.750 0.660
Se 0.936 0.750 0.840
Se 0.551 0.250 0.891
Se 0.317 0.250 0.895
Tl 0.922 0.750 0.134
Tl 0.422 0.750 0.366
Tl 0.578 0.250 0.634
Tl 0.078 0.250 0.866

---

[3]
NdTlOs: relaxed, PBE-GGA.

Properties
DFT total energy = -15.47 eV/cell

Unit cell a=4.893 b=4.893 c=4.893 alpha=60.00 beta=60.00 gamma=60.00
Positions (direct):
Nd 0.000 0.000 0.000
Os 0.250 0.250 0.250
Tl 0.750 0.750 0.750

---

[4]
Nd2CoNiGe4: relaxed, PBE-GGA.

Properties
DFT total energy = -46.36 eV/cell

Unit cell a=4.248 b=8.631 c=8.631 alpha=28.55 beta=90.00 gamma=90.00
Positions (direct):
Co 0.000 0.683 0.683
Ge 0.000 0.249 0.249
Ge 0.500 0.457 0.457
Ge 0.000 0.545 0.545
Ge 0.500 0.748 0.748
Nd 0.500 0.108 0.108
Nd 0.000 0.891 0.891
Ni 0.500 0.318 0.318

---

[5]
Rb2PuAg2Te4: relaxed, PBE-GGA.

Properties
DFT total energy = -40.21 eV/cell

Unit cell a=8.071 b=8.071 c=6.764 alpha=90.00 beta=90.00 gamma=130.47
Positions (direct):
Ag 0.500 0.500 0.000
Ag 0.000 0.000 0.500
Pu 0.000 0.000 0.000
Rb 0.500 0.000 0.258
Rb 0.000 0.500 0.742
Te 0.144 0.366 0.255
Te 0.856 0.634 0.255
Te 0.366 0.144 0.745
Te 0.634 0.856 0.745

---

[6]
Al2Ga2Cu: relaxed, PBE-GGA.

Properties
DFT total energy = -16.05 eV/cell

Unit cell a=6.347 b=6.347 c=6.347 alpha=143.74 beta=143.74 gamma=52.22
Positions (direct):
Al 0.750 0.250 0.500
Al 0.250 0.750 0.500
Cu 0.000 0.000 0.000
Ga 0.397 0.397 0.000
Ga 0.603 0.603 0.000

---

[7]
KHoIr: relaxed, PBE-GGA.

Properties
DFT total energy = -13.69 eV/cell

Unit cell a=4.896 b=4.896 c=4.896 alpha=60.00 beta=60.00 gamma=60.00
Positions (direct):
Ho 0.750 0.750 0.750
Ir 0.000 0.000 0.000
K 0.250 0.250 0.250

---

[8]
Tc3Bi2As3: relaxed, PBE-GGA.

Properties
DFT total energy = -45.46 eV/cell

Unit cell a=3.576 b=3.576 c=14.515 alpha=90.00 beta=90.00 gamma=90.00
Positions (direct):
As 0.500 0.500 0.000
As 0.000 0.000 0.500
As 0.500 0.500 0.500
Bi 0.500 0.000 0.305
Bi 0.000 0.500 0.695
Tc 0.000 0.000 0.000
Tc 0.000 0.000 0.162
Tc 0.000 0.000 0.838

---

[9]
TaReAg: relaxed, PBE-GGA.

Properties
DFT total energy = -24.02 eV/cell

Unit cell a=4.392 b=4.392 c=4.392 alpha=60.00 beta=60.00 gamma=60.00
Positions (direct):
Ag 0.250 0.250 0.250
Re 0.000 0.000 0.000
Ta 0.750 0.750 0.750

---

[10]
Zn4Sb3: relaxed, PBE-GGA.

Properties
DFT total energy = -32.27 eV/cell

Unit cell a=8.310 b=8.311 c=5.146 alpha=90.00 beta=90.00 gamma=60.01
Positions (direct):
Sb 0.140 0.225 0.000
Sb 0.349 0.569 0.000
Sb 0.796 0.777 0.000
Sb 0.384 0.156 0.500
Sb 0.728 0.603 0.500
Sb 0.175 0.812 0.500
Zn 0.962 0.010 0.000
Zn 0.580 0.170 0.000
Zn 0.742 0.391 0.000
Zn 0.429 0.857 0.000
Zn 0.943 0.210 0.500
Zn 0.561 0.371 0.500
Zn 0.095 0.524 0.500
Zn 0.782 0.990 0.500

---

[11]
AlZnPO: relaxed, PBE-GGA.

Properties
DFT total energy = -36.39 eV/cell

Unit cell a=3.978 b=3.978 c=8.729 alpha=90.00 beta=90.00 gamma=90.00
Positions (direct):
Al 0.000 0.000 0.500
Al 0.500 0.500 0.500
O 0.000 0.000 0.000
O 0.500 0.500 0.000
P 0.500 0.000 0.345
P 0.000 0.500 0.655
Zn 0.500 0.000 0.048
Zn 0.000 0.500 0.952

---

[12]
KErCdTe3: relaxed, PBE-GGA.

Properties
DFT total energy = -44.53 eV/cell

Unit cell a=8.256 b=8.256 c=11.760 alpha=90.00 beta=90.00 gamma=31.31
Positions (direct):
Cd 0.462 0.462 0.250
Cd 0.538 0.538 0.750
Er 0.000 0.000 0.000
Er 0.000 0.000 0.500
K 0.756 0.756 0.250
K 0.244 0.244 0.750
Te 0.369 0.369 0.047
Te 0.075 0.075 0.250
Te 0.369 0.369 0.453
Te 0.631 0.631 0.547
Te 0.925 0.925 0.750
Te 0.631 0.631 0.953

---

- What is the formula in the seventh record?
  KHoIr